[1]
First-principles (SCAN) data for a PBEsol-optimized structure of RbTi2Br, as listed in Alexandria.

Unit cell a=4.6518 b=4.6518 c=19.9844 alpha=90.00 beta=90.00 gamma=90.00
Space group I4_1/amd (No. 141, origin choice 2)
Unique sites:
Rb (0.0000, 0.2500, 0.3750) [4 per cell]
Ti (0.0000, 0.0000, 0.0000) [8 per cell]
Br (0.0000, 0.2500, 0.8750) [4 per cell]

Summary:
raw total energy	-280.3	eV/cell
spin magnetization	3.2	μB/cell
E_form (uncorrected)	0.55	eV/atom

[2]
First-principles (SCAN) data for a PBEsol-optimized structure of CaHfScPd2, as listed in Alexandria.

Unit cell a=4.8043 b=4.8043 c=4.9626 alpha=90.00 beta=90.00 gamma=90.00
Space group P4/mmm (No. 123)
Unique sites:
Ca (0.0000, 0.0000, 0.0000) [1 per cell]
Hf (0.5000, 0.5000, 0.0000) [1 per cell]
Sc (0.5000, 0.5000, 0.5000) [1 per cell]
Pd (0.0000, 0.5000, 0.5000) [2 per cell]

Summary:
raw total energy	-150.5	eV/cell
energy of formation	0.328	eV/atom
spin magnetization	0.0	μB/cell

[3]
First-principles (SCAN) data for a PBEsol-optimized structure of BeAl2Hg, as listed in Alexandria.

Unit cell a=3.4390 b=4.1160 c=4.8229 alpha=90.00 beta=96.14 gamma=90.00
Space group P2/m (No. 10)
Unique sites:
Be (0.0000, 0.0000, 0.0000) [1 per cell]
Al (0.3238, 0.5000, 0.2273) [2 per cell]
Hg (0.0000, 0.0000, 0.5000) [1 per cell]

Summary:
raw total energy	-87.0	eV/cell
energy of formation	0.258	eV/atom
spin magnetization	0.0	μB/cell